This record from Alexandria describes a relaxed structure of VH12N3O5F2. The functional is PBE+U.

Unit cell a=6.975 b=8.376 c=13.388 alpha=90.00 beta=90.00 gamma=90.00
Atoms (fractional coordinates):
1 V 0.841 0.503 0.400
2 V 0.659 0.497 0.900
3 V 0.341 0.997 0.600
4 V 0.159 0.003 0.100
5 H 0.788 0.782 0.171
6 H 0.712 0.218 0.671
7 H 0.288 0.718 0.829
8 H 0.212 0.282 0.329
9 H 0.633 0.639 0.215
10 H 0.867 0.361 0.715
11 H 0.133 0.861 0.785
12 H 0.367 0.139 0.285
13 H 0.622 0.696 0.094
14 H 0.878 0.304 0.594
15 H 0.122 0.804 0.906
16 H 0.378 0.196 0.406
17 H 0.548 0.826 0.183
18 H 0.952 0.174 0.683
19 H 0.048 0.674 0.817
20 H 0.452 0.326 0.317
21 H 0.006 0.075 0.463
22 H 0.494 0.925 0.963
23 H 0.506 0.425 0.537
24 H 0.994 0.575 0.037
25 H 0.942 0.055 0.340
26 H 0.558 0.945 0.840
27 H 0.442 0.445 0.660
28 H 0.058 0.555 0.160
29 H 0.841 0.934 0.425
30 H 0.659 0.066 0.925
31 H 0.341 0.566 0.575
32 H 0.159 0.434 0.075
33 H 0.787 0.134 0.427
34 H 0.713 0.866 0.927
35 H 0.287 0.366 0.573
36 H 0.213 0.634 0.073
37 H 0.770 0.293 0.071
38 H 0.730 0.707 0.571
39 H 0.270 0.207 0.929
40 H 0.230 0.793 0.429
41 H 0.679 0.331 0.188
42 H 0.821 0.669 0.688
43 H 0.179 0.169 0.812
44 H 0.321 0.831 0.312
45 H 0.570 0.197 0.109
46 H 0.930 0.803 0.609
47 H 0.070 0.303 0.891
48 H 0.430 0.697 0.391
49 H 0.788 0.153 0.162
50 H 0.712 0.847 0.662
51 H 0.288 0.347 0.838
52 H 0.212 0.653 0.338
53 N 0.648 0.736 0.166
54 N 0.852 0.264 0.666
55 N 0.148 0.764 0.834
56 N 0.352 0.236 0.334
57 N 0.894 0.049 0.414
58 N 0.606 0.951 0.914
59 N 0.394 0.451 0.586
60 N 0.106 0.549 0.086
61 N 0.701 0.243 0.133
62 N 0.799 0.757 0.633
63 N 0.201 0.257 0.867
64 N 0.299 0.743 0.367
65 O 0.013 0.527 0.288
66 O 0.487 0.473 0.788
67 O 0.513 0.973 0.712
68 O 0.987 0.027 0.212
69 O 0.778 0.724 0.389
70 O 0.722 0.276 0.889
71 O 0.278 0.776 0.611
72 O 0.222 0.224 0.111
73 O 0.642 0.643 0.455
74 O 0.858 0.357 0.955
75 O 0.142 0.857 0.545
76 O 0.358 0.143 0.045
77 O 0.992 0.504 0.494
78 O 0.508 0.496 0.994
79 O 0.492 0.996 0.506
80 O 0.008 0.004 0.006
81 O 0.978 0.358 0.310
82 O 0.522 0.642 0.810
83 O 0.478 0.142 0.690
84 O 0.022 0.858 0.190
85 F 0.689 0.324 0.456
86 F 0.811 0.676 0.956
87 F 0.189 0.176 0.544
88 F 0.311 0.824 0.044
89 F 0.612 0.468 0.279
90 F 0.888 0.532 0.779
91 F 0.112 0.032 0.721
92 F 0.388 0.968 0.221

Computed properties:
E (eV per formula unit): -121.2
Density (g cm⁻³): 1.9
N(E_F) (states/eV/cell): 0.00
Space-group type: P2_12_12_1 (19)
M_tot (μB per formula unit): 0.07